1.
The following is a GGA-PBE calculation of a geometry-optimized ZrFe3Ge3 structure, from Alexandria via LeMat-Bulk.

The structure in POSCAR format:
```
ZrFe3Ge3
1.0
7.913 0.000 0.000
-3.957 6.853 0.000
0.000 0.000 4.254
Zr Fe Ge
2 6 6
Direct
0.333 0.667 0.250
0.667 0.333 0.750
0.100 0.641 0.750
0.359 0.459 0.750
0.459 0.100 0.250
0.541 0.900 0.750
0.641 0.541 0.250
0.900 0.359 0.250
0.015 0.303 0.750
0.288 0.985 0.750
0.303 0.288 0.250
0.697 0.712 0.750
0.712 0.015 0.250
0.985 0.697 0.250
```

Values from the calculation:
ρ: 6.86 g/cm³

2.
The following is a GGA-PBE calculation of a geometry-optimized ZrFe3Ge3 structure, from Alexandria via LeMat-Bulk.

The structure in POSCAR format:
```
ZrFe3Ge3
1.0
6.373 0.000 0.000
0.000 6.373 0.000
0.000 0.000 6.373
Zr Fe Ge
2 6 6
Direct
0.000 0.000 0.000
0.500 0.500 0.500
0.000 0.250 0.500
0.000 0.750 0.500
0.250 0.500 0.000
0.500 0.000 0.250
0.500 0.000 0.750
0.750 0.500 0.000
0.000 0.500 0.250
0.000 0.500 0.750
0.250 0.000 0.500
0.500 0.250 0.000
0.500 0.750 0.000
0.750 0.000 0.500
```

Values from the calculation:
ρ: 6.12 g/cm³

Most stable pick: 1. Distance to second place: 513 meV/atom.

1.
The following is a GGA-PBE calculation of a geometry-optimized Fe2H3 structure, from Alexandria via LeMat-Bulk.

The structure in POSCAR format:
```
Fe2H3
1.0
2.259 1.304 3.583
-2.259 1.304 3.583
0.000 -2.608 3.583
Fe H
4 6
Direct
0.129 0.129 0.129
0.371 0.371 0.371
0.629 0.629 0.629
0.871 0.871 0.871
0.023 0.750 0.477
0.250 0.523 0.977
0.477 0.023 0.750
0.523 0.977 0.250
0.750 0.477 0.023
0.977 0.250 0.523
```

Values from the calculation:
ρ: 6.02 g/cm³

2.
The following is a GGA-PBE calculation of a geometry-optimized Fe2H3 structure, from Alexandria via LeMat-Bulk.

The structure in POSCAR format:
```
Fe2H3
1.0
2.594 0.000 0.000
-1.296 2.253 0.000
-0.059 -0.084 6.112
Fe H
2 3
Direct
0.159 0.326 0.324
0.841 0.674 0.676
0.181 0.345 0.823
0.500 0.000 0.500
0.819 0.655 0.177
```

Values from the calculation:
ρ: 5.33 g/cm³

Most stable pick: 2. Distance to second place: 72 meV/atom.

1.
The following is a GGA-PBE calculation of a geometry-optimized Hf2Fe2H structure, from Alexandria via LeMat-Bulk.

The structure in POSCAR format:
```
Hf2Fe2H
1.0
-2.516 2.516 2.890
2.516 -2.516 2.890
2.516 2.516 -2.890
Hf Fe H
2 2 1
Direct
0.250 0.750 0.500
0.750 0.250 0.500
0.202 0.202 0.000
0.798 0.798 0.000
0.500 0.500 0.000
```

Values from the calculation:
ρ: 10.65 g/cm³

2.
The following is a GGA-PBE calculation of a geometry-optimized Hf2Fe2H structure, from Alexandria via LeMat-Bulk.

The structure in POSCAR format:
```
Hf2Fe2H
1.0
5.784 0.000 0.000
0.000 5.784 0.000
0.000 0.000 4.133
Hf Fe H
4 4 2
Direct
0.171 0.329 0.000
0.329 0.829 0.000
0.671 0.171 0.000
0.829 0.671 0.000
0.154 0.654 0.500
0.346 0.154 0.500
0.654 0.846 0.500
0.846 0.346 0.500
0.000 0.000 0.500
0.500 0.500 0.500
```

Values from the calculation:
ρ: 11.28 g/cm³

Most stable pick: 2. Distance to second place: 87 meV/atom.

1.
The following is a GGA-PBE calculation of a geometry-optimized Hf2Fe2H structure, from Alexandria via LeMat-Bulk.

The structure in POSCAR format:
```
Hf2Fe2H
1.0
-1.634 1.634 7.105
1.634 -1.634 7.105
1.634 1.634 -7.105
Hf Fe H
2 2 1
Direct
0.102 0.102 0.000
0.898 0.898 0.000
0.250 0.750 0.500
0.750 0.250 0.500
0.500 0.500 0.000
```

Values from the calculation:
ρ: 10.28 g/cm³

2.
The following is a GGA-PBE calculation of a geometry-optimized Hf2Fe2H structure, from Alexandria via LeMat-Bulk.

The structure in POSCAR format:
```
Hf2Fe2H
1.0
6.042 0.000 0.000
0.000 6.042 0.000
0.000 0.000 4.163
Hf Fe H
4 4 2
Direct
0.178 0.322 0.000
0.322 0.822 0.000
0.678 0.178 0.000
0.822 0.678 0.000
0.126 0.626 0.500
0.374 0.126 0.500
0.626 0.874 0.500
0.874 0.374 0.500
0.000 0.000 0.000
0.500 0.500 0.000
```

Values from the calculation:
ρ: 10.26 g/cm³

Most stable pick: 2. Distance to second place: 172 meV/atom.